A relaxed structure of Ba3CoSn2O9. Source: Alexandria via LeMat-Bulk, functional PBE with a Hubbard U.

Computed properties:
Total DFT energy (no corrections) ... -92.21 eV/cell
Space-group type ... P-3m1, No. 164
Fermi-level density of states ... 1.17 states/eV per cell

Cell lengths 5.845, 5.845, 7.162 Å; angles 90.00, 90.00, 120.00 degrees
Atoms (fractional coordinates):
1 Ba 0.667 0.333 0.338
2 Ba 0.000 0.000 0.000
3 Ba 0.333 0.667 0.662
4 O 0.500 0.500 0.000
5 O 0.838 0.162 0.662
6 O 0.162 0.838 0.338
7 O 0.162 0.325 0.338
8 O 0.838 0.675 0.662
9 O 0.675 0.838 0.338
10 O 0.500 0.000 0.000
11 O 0.000 0.500 0.000
12 O 0.325 0.162 0.662
13 Sn 0.667 0.333 0.830
14 Sn 0.333 0.667 0.170
15 Co 0.000 0.000 0.500